[1]
5
Lattice="4.538 0.000 0.000 0.000 4.549 0.000 0.000 0.000 4.538" Properties=species:S:1:pos:R:3 comment="TcOs2BrN (PBE, optimized geometry)" total_energy_ev_per_atom=-5.149 sg="No. 123" pbc="T T T"
Tc 0.000 2.275 0.000
Br 0.000 0.000 0.000
Os 0.000 0.000 2.269
Os 2.269 0.000 0.000
N 2.269 2.275 2.269

=====

[2]
5
Lattice="-2.505 0.311 -2.985 -2.755 -1.782 2.125 -1.763 5.126 2.014" Properties=species:S:1:pos:R:3 comment="TeOsBrN2 (PBE, optimized geometry)" polymorph_energy_mev_per_atom=0 sg="No. 123" pbc="T T T"
Te -0.882 2.563 1.007
Os 0.000 0.000 0.000
N -1.252 0.156 -1.493
N -1.377 -0.891 1.063
Br -3.511 1.828 0.577

=====

no.,N(E_F) (states/eV/f.u.)
1,9.0
2,2.6